This record from the Alexandria database describes a relaxed structure of Li5Mn2CoO8. The functional is GGA+U.

Unit cell a=2.9182 b=6.4532 c=7.7883 alpha=86.75 beta=81.68 gamma=76.42
Closest atoms and distances in Å follow each position.
Fractional positions:
1 O 0.5542 0.0389 0.8041  1 Mn 1.83, 2 Li 1.97-1.98
2 Li 0.0000 0.0000 0.0000  6 O 2.08-2.11
3 Li 0.6251 0.6446 0.1263  6 O 2.07-2.20
4 O 0.1896 0.6877 0.9161  2 Mn 1.93-1.94, 2 Li 2.08-2.12
5 Li 0.9289 0.8789 0.3560  5 O 1.97-2.15
6 Mn 0.2809 0.2467 0.2419  6 O 1.83-2.02
7 O 0.2691 0.7897 0.5850  1 Co 1.95, 2 Mn 1.98-1.99, 2 Li 2.14-2.15
8 Mn 0.7191 0.7533 0.7581  6 O 1.83-2.02
9 O 0.1069 0.5511 0.3219  1 Co 1.89, 1 Mn 2.02, 1 Li 2.08
10 O 0.8931 0.4489 0.6781  1 Co 1.89, 1 Mn 2.02, 1 Li 2.08
11 Li 0.0711 0.1211 0.6440  5 O 1.97-2.15
12 Co 0.5000 0.5000 0.5000  4 O 1.89-1.95
13 Li 0.3749 0.3554 0.8737  6 O 2.07-2.20
14 O 0.8104 0.3123 0.0839  2 Mn 1.93-1.94, 2 Li 2.08-2.12
15 O 0.7309 0.2103 0.4150  1 Co 1.95, 2 Mn 1.98-1.99, 2 Li 2.14-2.15
16 O 0.4458 0.9611 0.1959  1 Mn 1.83, 2 Li 1.97-1.98

Space-group type ... No. 2
Energy above the most stable polymorph in this dataset ... 44 kJ/mol of formula units